Material: AlFeF2
Method: DFT, GGA+U
State: relaxed

a = 5.722 Å, b = 5.722 Å, c = 8.592 Å
α = 90.00°, β = 90.00°, γ = 90.00°
Fractional coordinates of all 16 atoms:
Al 0.000 0.250 0.375
Al 0.000 0.750 0.625
Al 0.500 0.250 0.125
Al 0.500 0.750 0.875
Fe 0.000 0.250 0.875
Fe 0.000 0.750 0.125
Fe 0.500 0.250 0.625
Fe 0.500 0.750 0.375
F 0.000 0.000 0.500
F 0.000 0.500 0.500
F 0.250 0.250 0.250
F 0.250 0.750 0.750
F 0.500 0.000 0.000
F 0.500 0.500 0.000
F 0.750 0.250 0.250
F 0.750 0.750 0.750

Values from the calculation:
calculated volume = 70.3 Å³/f.u.
spin magnetization = 13.20 μB/cell
N(E_F) = 0.904 states/eV/f.u.
excess energy over the best structure of this formula in the dataset = 275 meV/atom
mass density = 2.9 g cm⁻³